1.
# GaPd2F

GaPd2F after structural relaxation (PBE-GGA, Alexandria via LeMat-Bulk).

The value obtained for the energy above the most stable polymorph in this dataset is 0.0 kJ/mol of atoms.

It has space group Fm-3m (No. 225), with a = 6.0486 Å, b = 6.0486 Å, c = 6.0486 Å, α = 90.00°, β = 90.00° and γ = 90.00°. The asymmetric unit holds Ga at (0.0000, 0.0000, 0.0000), Pd at (0.2500, 0.2500, 0.2500) and F at (0.0000, 0.0000, 0.5000).



2.
# RbGaPdF6

RbGaPdF6 after structural relaxation (PBE-GGA, Alexandria via LeMat-Bulk).

It has space group P312 (No. 149), with a = 5.5844 Å, b = 5.5844 Å, c = 5.9798 Å, α = 90.00°, β = 90.00° and γ = 120.00°. The asymmetric unit holds Rb at (0.0000, 0.0000, 0.0000), Ga at (0.6667, 0.3333, 0.5000), Pd at (0.3333, 0.6667, 0.5000) and F at (0.3923, 0.0370, 0.6831).



Record order is preserved below.
Raw formation energy: -678.6, -2208.6 meV/atom
Record order is preserved below.
V: 13.83, 17.94 A^3/atom